# MgFe2PPt

A relaxed MgFe2PPt crystal (PBE-GGA, the Alexandria database).

a = 4.149 Å, b = 4.149 Å, c = 4.673 Å
α = 90.00°, β = 90.00°, γ = 90.00°
Space group P4/mmm (No. 123)
Inequivalent atoms, fractional coordinates:
Mg  0.000  0.000  0.000
Fe  0.000  0.500  0.500
P  0.000  0.000  0.500
Pt  0.500  0.500  0.000

Energy of formation from the pure elements   0.22 eV/atom
Magnetization   4.14 μB/cell

***

# MgFePRu2

A relaxed MgFePRu2 crystal (PBE-GGA, the Alexandria database).

a = 4.459 Å, b = 4.459 Å, c = 4.348 Å
α = 90.00°, β = 90.00°, γ = 90.00°
Space group P4/mmm (No. 123)
Inequivalent atoms, fractional coordinates:
Mg  0.000  0.000  0.000
Fe  0.500  0.500  0.500
P  0.000  0.000  0.500
Ru  0.000  0.500  0.000

Energy of formation from the pure elements   2.02 eV/atom
Magnetization   0.51 μB/cell

***

# MgFePS2

A relaxed MgFePS2 crystal (PBE-GGA, the Alexandria database).

a = 4.720 Å, b = 4.720 Å, c = 4.782 Å
α = 90.00°, β = 90.00°, γ = 90.00°
Space group P4/mmm (No. 123)
Inequivalent atoms, fractional coordinates:
Mg  0.000  0.000  0.000
Fe  0.500  0.500  0.500
P  0.000  0.000  0.500
S  0.000  0.500  0.000

Magnetization   3.02 μB/cell
Formation energy without anion corrections   0.84 eV per atom

***

# MgFePS2

A relaxed MgFePS2 crystal (PBE-GGA, the Alexandria database).

a = 4.729 Å, b = 4.729 Å, c = 4.131 Å
α = 90.00°, β = 90.00°, γ = 90.00°
Space group P4/mmm (No. 123)
Inequivalent atoms, fractional coordinates:
Mg  0.000  0.000  0.000
Fe  0.500  0.500  0.500
P  0.500  0.500  0.000
S  0.000  0.500  0.500

Magnetization   1.57 μB/cell
Formation energy without anion corrections   0.09 eV per atom

***

# SrMgFeP

A relaxed SrMgFeP crystal (PBE-GGA, the Alexandria database).

a = 3.897 Å, b = 3.897 Å, c = 11.799 Å
α = 90.00°, β = 90.00°, γ = 90.00°
Space group P4/nmm (No. 129, origin choice 2)
Inequivalent atoms, fractional coordinates:
Sr  0.250  0.250  0.223
Mg  0.250  0.750  0.500
Fe  0.250  0.750  0.000
P  0.250  0.250  0.907

Energy of formation from the pure elements   -0.48 eV/atom
Magnetization   0.00 μB/cell

***

# MgPaFe

A relaxed MgPaFe crystal (PBE-GGA, the Alexandria database).

a = 13.227 Å, b = 3.469 Å, c = 5.586 Å
α = 90.00°, β = 105.36°, γ = 90.00°
Space group C2/m (No. 12)
Inequivalent atoms, fractional coordinates:
Mg  0.159  0.000  0.312
Pa  0.086  0.500  0.743
Fe  0.205  0.000  0.853

Energy of formation from the pure elements   0.06 eV/atom
Magnetization   0.00 μB/cell

***

# MgPa2Fe9

A relaxed MgPa2Fe9 crystal (PBE-GGA, the Alexandria database).

a = 4.8031 Å, b = 4.8031 Å, c = 25.0166 Å
α = 90.00°, β = 90.00°, γ = 120.00°
Space group R-3m (No. 166, hexagonal axes)
Inequivalent atoms, fractional coordinates:
Mg  0.0000  0.0000  0.0000
Pa  0.0000  0.0000  0.1401
Fe  0.0000  0.0000  0.3331
Fe  0.0000  0.0000  0.5000
Fe  0.0009  0.5004  0.0797

Energy of formation from the pure elements   -0.01 eV/atom
Magnetization   11.71 μB/cell

***

# MgPa2Fe

A relaxed MgPa2Fe crystal (PBE-GGA, the Alexandria database).

a = 3.5690 Å, b = 3.5690 Å, c = 25.6998 Å
α = 90.00°, β = 90.00°, γ = 120.00°
Space group R-3m (No. 166, hexagonal axes)
Inequivalent atoms, fractional coordinates:
Mg  0.0000  0.0000  0.0000
Pa  0.0000  0.0000  0.2278
Fe  0.0000  0.0000  0.5000

Energy of formation from the pure elements   0.12 eV/atom
Magnetization   0.00 μB/cell

***

> Which value of magnetization does entry 4 give?

1.57 μB/cell